Record 1
{
  "formula": "SrMnCu2",
  "functional": "GGA-PBE",
  "state": "relaxed",
  "lattice_angstrom": [[4.9288, -0.0214, -0.0014], [-0.0414, 4.9287, 0.0014], [-1.9881, -2.9075, 3.4479]],
  "species": ["Mn", "Cu", "Cu", "Sr"],
  "frac_coords": [[0.7500, 0.2500, 0.5000], [0.5615, 0.5615, 0.0000], [0.9385, 0.9385, 0.0000], [0.2500, 0.7500, 0.5000]],
  "energy_ev_per_atom": -4.436,
  "total_magnetization_mub_per_fu": 4.15,
  "e_form_ev_per_fu": 1.30
}

***

Record 2
{
  "formula": "ReTeN2O",
  "functional": "GGA-PBE",
  "state": "relaxed",
  "lattice_angstrom": [[-2.6413, 1.4319, 2.2181], [-1.7943, -3.2752, -0.0223], [2.9490, -1.6467, 4.5748]],
  "species": ["Te", "O", "N", "N", "Re"],
  "frac_coords": [[0.0000, 0.0000, 0.5000], [0.5000, 0.5000, 0.5000], [0.5000, 0.0000, 0.0000], [0.0000, 0.5000, 0.0000], [0.0000, 0.0000, 0.0000]],
  "energy_ev_per_atom": -6.934,
  "e_form_raw_mev_per_atom": 506,
  "total_magnetization_mub_per_fu": 0.00
}

***

Record 3
{
  "formula": "SrBeGa2Ru2",
  "functional": "GGA-PBE",
  "state": "relaxed",
  "lattice_angstrom": [[4.3685, 0.0000, 0.0000], [0.0000, 4.3685, 0.0000], [0.0000, 0.0000, 5.6800]],
  "species": ["Sr", "Ga", "Ga", "Be", "Ru", "Ru"],
  "frac_coords": [[0.0000, 0.0000, 0.5000], [0.5000, 0.5000, 0.2411], [0.5000, 0.5000, 0.7589], [0.0000, 0.0000, 0.0000], [0.5000, 0.0000, 0.0000], [0.0000, 0.5000, 0.0000]],
  "energy_ev_per_atom": -5.318,
  "total_magnetization_mub_per_fu": 0.00,
  "e_form_ev_per_fu": -1.90
}